VASP calculation (PBE) on a relaxed structure of BaSiSe2.

Cell: 5.314 5.314 5.314 Å, 60.00 60.00 60.00°
Fractional coordinates of all 4 atoms:
1 Ba 0.000 0.000 0.000
2 Si 0.750 0.750 0.750
3 Se 0.250 0.250 0.250
4 Se 0.500 0.500 0.500

Distance to the lowest polymorph of the same formula (meV/atom): 897
Spin magnetization (μB/cell): 0.00
Raw total energy (eV/atom): -3.682